Entry 1:
# YTm6Ni2Se2

A relaxed YTm6Ni2Se2 crystal (PBE, OQMD via LeMat-Bulk).

Summary:
final energy	-121.03	eV/cell

Lattice parameters (Å, degrees): 3.765 14.930 9.181 90.00 90.00 90.00
Space group Imm2 (No. 44)
Asymmetric unit:
Y1 0.000 0.000 0.000 (multiplicity 2)
Tm1 0.000 0.126 0.413 (multiplicity 4)
Tm2 0.000 0.316 0.618 (multiplicity 4)
Tm3 0.000 0.359 0.259 (multiplicity 4)
Ni1 0.000 0.239 0.923 (multiplicity 4)
Se1 0.000 0.000 0.659 (multiplicity 2)
Se2 0.000 0.500 0.759 (multiplicity 2)

---

Entry 2:
# Y5Tm2Ni2Se2

A relaxed Y5Tm2Ni2Se2 crystal (PBE, OQMD via LeMat-Bulk).

Summary:
final energy	-136.94	eV/cell

Lattice parameters (Å, degrees): 3.816 15.121 9.304 90.00 90.00 90.00
Space group Imm2 (No. 44)
Asymmetric unit:
Y1 0.000 0.000 0.000 (multiplicity 2)
Y2 0.000 0.124 0.409 (multiplicity 4)
Y3 0.000 0.360 0.257 (multiplicity 4)
Tm1 0.000 0.315 0.614 (multiplicity 4)
Ni1 0.000 0.238 0.924 (multiplicity 4)
Se1 0.000 0.000 0.660 (multiplicity 2)
Se2 0.000 0.500 0.753 (multiplicity 2)

---

Entry 3:
# Y3Tm4Ni2Se2

A relaxed Y3Tm4Ni2Se2 crystal (PBE, OQMD via LeMat-Bulk).

Summary:
final energy	-128.99	eV/cell

Lattice parameters (Å, degrees): 3.794 15.061 9.212 90.00 90.00 90.00
Space group Imm2 (No. 44)
Asymmetric unit:
Y1 0.000 0.000 0.000 (multiplicity 2)
Y2 0.000 0.359 0.255 (multiplicity 4)
Tm1 0.000 0.126 0.410 (multiplicity 4)
Tm2 0.000 0.316 0.615 (multiplicity 4)
Ni1 0.000 0.241 0.925 (multiplicity 4)
Se1 0.000 0.000 0.655 (multiplicity 2)
Se2 0.000 0.500 0.758 (multiplicity 2)

---

Entry 4:
# NiW2Se5

A relaxed NiW2Se5 crystal (PBE, OQMD via LeMat-Bulk).

Summary:
final energy	-206.50	eV/cell

Lattice parameters (Å, degrees): 3.373 13.658 15.362 90.00 90.05 90.00
Space group C2/c (No. 15)
Asymmetric unit:
Ni1 0.000 0.195 0.250 (multiplicity 4)
W1 0.000 0.284 0.614 (multiplicity 8)
Se1 0.000 0.082 0.138 (multiplicity 8)
Se2 0.000 0.175 0.750 (multiplicity 4)
Se3 0.000 0.343 0.050 (multiplicity 8)

---

Entry 5:
# SiNi3

A relaxed SiNi3 crystal (PBE, OQMD via LeMat-Bulk).

Summary:
final energy	-142.90	eV/cell

Lattice parameters (Å, degrees): 6.6376 6.6376 7.0005 90.00 90.00 120.00
Space group P6_3cm (No. 185)
Asymmetric unit:
Si1 0.0000 0.3272 0.0000 (multiplicity 6)
Ni1 0.0000 0.0000 0.0868 (multiplicity 2)
Ni2 0.0000 0.2735 0.3283 (multiplicity 6)
Ni3 0.0000 0.3819 0.6667 (multiplicity 6)
Ni4 0.3333 0.6667 0.4173 (multiplicity 4)

---

Entry 6:
# SiNi2

A relaxed SiNi2 crystal (PBE, OQMD via LeMat-Bulk).

Summary:
final energy	-32.32	eV/cell

Lattice parameters (Å, degrees): 4.903 4.903 3.547 90.00 90.00 90.00
Space group P4_2/mnm (No. 136)
Asymmetric unit:
Si1 0.000 0.000 0.000 (multiplicity 2)
Ni1 0.185 0.185 0.500 (multiplicity 4)